No. 1
Material: ScTlWS2
Method: DFT, PBE
State: optimized geometry

Geometry as POSCAR:
```
ScTlWS2
1.0
4.659 0.000 0.000
0.000 5.417 0.000
0.000 0.000 4.659
Sc S W Tl
1 2 1 1
Direct
0.000 0.500 0.000 Sc
0.000 0.000 0.500 S
0.500 0.000 0.000 S
0.000 0.000 0.000 W
0.500 0.500 0.500 Tl
```

Properties
As for the space group: P4/mmm. The formation energy without anion corrections comes out at 18 meV/atom. Its volume is 118 Å³ per cell. For the calculated total energy, the calculation gives -5.9635 eV per atom.

---

No. 2
Material: NaLi2Ca3
Method: DFT, PBE
State: optimized geometry

Geometry as POSCAR:
```
NaLi2Ca3
1.0
-2.721 2.806 -0.792
-1.199 -2.065 -3.195
-8.494 -6.205 7.197
Ca Li Na
3 2 1
Direct
0.000 0.000 0.693 Ca
0.000 0.000 0.000 Ca
0.000 0.000 0.307 Ca
0.500 0.500 0.154 Li
0.500 0.500 0.846 Li
0.500 0.500 0.500 Na
```

Properties
As for the space group: P4/mmm. Its volume is 203 Å³ per cell. For the calculated total energy, the calculation gives -1.8241 eV per atom. The value obtained for the formation energy from the elements is 34 meV per atom.

---

No. 3
Material: ThSi3Tc3
Method: DFT, PBE
State: optimized geometry

Geometry as POSCAR:
```
ThSi3Tc3
1.0
6.643 0.000 0.000
3.321 5.753 0.000
3.321 1.918 6.793
Tc Si Th
6 6 2
Direct
0.473 0.262 0.359 Tc
0.527 0.738 0.641 Tc
0.738 0.094 0.641 Tc
0.094 0.527 0.641 Tc
0.262 0.906 0.359 Tc
0.906 0.473 0.359 Tc
0.160 0.672 0.274 Si
0.107 0.840 0.726 Si
0.893 0.160 0.274 Si
0.840 0.328 0.726 Si
0.328 0.107 0.726 Si
0.672 0.893 0.274 Si
0.666 0.666 0.002 Th
0.334 0.334 0.998 Th
```

Properties
As for the space group: R-3. The formation energy without anion corrections comes out at -209 meV/atom. Its volume is 260 Å³ per cell. For the calculated total energy, the calculation gives -8.0358 eV per atom. The offset from the most stable computed form comes out at 0.000 kcal/mol of atoms.

---

No. 4
Material: Pr3SiGe4
Method: DFT, PBE
State: optimized geometry

Geometry as POSCAR:
```
Pr3SiGe4
1.0
4.469 0.000 0.000
0.000 4.086 -0.561
-2.235 -2.662 10.855
Ge Pr Si
4 3 1
Direct
0.599 0.700 0.199 Ge
0.280 0.062 0.559 Ge
0.720 0.938 0.441 Ge
0.401 0.300 0.801 Ge
0.000 0.500 0.000 Pr
0.840 0.679 0.679 Pr
0.160 0.321 0.321 Pr
0.500 0.000 0.000 Si
```

Properties
As for the space group: C2/m. The formation energy without anion corrections comes out at -602 meV/atom. Its volume is 192 Å³ per cell. For the calculated total energy, the calculation gives -5.3811 eV per atom.

---

No. 5
Material: CuOsW2
Method: DFT, PBE
State: optimized geometry

Geometry as POSCAR:
```
CuOsW2
1.0
-0.647 4.075 1.502
-4.076 1.425 0.797
-1.337 0.629 4.135
W Cu Os
2 1 1
Direct
0.250 0.250 0.250 W
0.750 0.750 0.750 W
0.000 0.000 0.000 Cu
0.500 0.500 0.500 Os
```

Properties
As for the space group: Fm-3m. Its volume is 60 Å³ per cell. For the calculated total energy, the calculation gives -9.8332 eV per atom. The offset from the most stable computed form comes out at 6.597 kcal/mol of atoms. The value obtained for the formation energy from the elements is 475 meV per atom.

---

No. 6
Material: CeNd2Ga3Pt4
Method: DFT, PBE
State: optimized geometry

Geometry as POSCAR:
```
CeNd2Ga3Pt4
1.0
-2.922 -2.806 -1.637
0.527 -2.582 3.485
-8.144 5.419 5.247
Ga Pt Nd Ce
3 4 2 1
Direct
0.500 0.000 0.880 Ga
0.000 0.000 0.500 Ga
0.000 0.500 0.120 Ga
0.500 0.000 0.655 Pt
0.000 0.000 0.000 Pt
0.000 0.500 0.345 Pt
0.500 0.500 0.000 Pt
0.000 0.500 0.778 Nd
0.500 0.000 0.222 Nd
0.500 0.500 0.500 Ce
```

Properties
As for the space group: P-4m2. Its volume is 212 Å³ per cell. For the calculated total energy, the calculation gives -5.8000 eV per atom. The value obtained for the formation energy from the elements is -929 meV per atom.

---

No. 7
Material: AcLaPrMg
Method: DFT, PBE
State: optimized geometry

Geometry as POSCAR:
```
AcLaPrMg
1.0
-1.584 -1.717 -3.132
2.754 -2.769 0.124
-5.408 -5.131 5.548
Pr La Ac Mg
1 1 1 1
Direct
0.500 0.500 0.355 Pr
0.500 0.500 0.788 La
0.000 0.000 0.074 Ac
0.000 0.000 0.567 Mg
```

Properties
As for the space group: P4mm. Its volume is 142 Å³ per cell. For the calculated total energy, the calculation gives -3.9002 eV per atom. The offset from the most stable computed form comes out at 0.000 kcal/mol of atoms. The value obtained for the formation energy from the elements is -48 meV per atom.

---

No. 8
Material: Ga2Pt7Au
Method: DFT, PBE
State: optimized geometry

Geometry as POSCAR:
```
Ga2Pt7Au
1.0
-0.262 0.986 3.862
-5.948 -4.781 0.816
7.328 -2.043 1.019
Au Ga Pt
1 2 7
Direct
0.000 0.000 0.000 Au
0.500 0.309 0.691 Ga
0.500 0.691 0.309 Ga
0.500 0.916 0.702 Pt
0.500 0.702 0.916 Pt
0.500 0.298 0.084 Pt
0.500 0.500 0.500 Pt
0.500 0.084 0.298 Pt
0.000 0.801 0.199 Pt
0.000 0.199 0.801 Pt
```

Properties
As for the space group: Cmmm. Its volume is 195 Å³ per cell. For the calculated total energy, the calculation gives -5.0498 eV per atom. The value obtained for the formation energy from the elements is 112 meV per atom.

---

No. 9
Material: CaMnCl2
Method: DFT, PBE
State: optimized geometry

Geometry as POSCAR:
```
CaMnCl2
1.0
-0.487 3.501 -2.203
-2.418 -1.712 -2.186
-4.261 1.791 3.788
Ca Cl Mn
1 2 1
Direct
0.500 0.750 0.750 Ca
0.000 0.424 0.495 Cl
0.000 0.076 0.005 Cl
0.500 0.250 0.250 Mn
```

Properties
As for the space group: P2/m. The formation energy without anion corrections comes out at -762 meV/atom. Its volume is 92 Å³ per cell. For the calculated total energy, the calculation gives -4.4786 eV per atom. The offset from the most stable computed form comes out at 5.379 kcal/mol of atoms.

---

No. 10
Material: FeSn2HgGe
Method: DFT, PBE
State: optimized geometry

Geometry as POSCAR:
```
FeSn2HgGe
1.0
5.070 0.000 0.000
0.000 5.070 0.000
0.000 0.000 4.547
Fe Ge Sn Hg
1 1 2 1
Direct
0.000 0.000 0.000 Fe
0.000 0.000 0.500 Ge
0.500 0.000 0.000 Sn
0.000 0.500 0.000 Sn
0.500 0.500 0.500 Hg
```

Properties
As for the space group: P4/mmm. Its volume is 117 Å³ per cell. For the calculated total energy, the calculation gives -4.1690 eV per atom. The value obtained for the formation energy from the elements is 108 meV per atom.